# 1
The following is a GGA-PBE calculation of a geometry-optimized Dy3Ho8 structure, from the Alexandria database.

a = 3.5225 Å, b = 3.5225 Å, c = 94.6266 Å
α = 90.00°, β = 90.00°, γ = 120.00°
Space group R-3m (No. 166, hexagonal axes)
Inequivalent atoms, fractional coordinates:
Dy  0.0000  0.0000  0.0000 x3
Dy  0.0000  0.0000  0.2726 x6
Ho  0.0000  0.0000  0.0911 x6
Ho  0.0000  0.0000  0.1818 x6
Ho  0.0000  0.0000  0.3637 x6
Ho  0.0000  0.0000  0.4546 x6

## Properties
Energy in eV/atom: -4.5643
Fermi-level density of states in states/eV/f.u.: 14.98
ΔE_f in eV per atom: 0.02
Crystal system: trigonal

---

# 2
The following is a GGA-PBE calculation of a geometry-optimized MgBeSi2 structure, from the Alexandria database.

a = 8.285 Å, b = 2.774 Å, c = 5.468 Å
α = 90.00°, β = 101.65°, γ = 90.00°
Space group Cm (No. 8)
Inequivalent atoms, fractional coordinates:
Mg  0.000  0.000  0.000 x2
Be  0.228  0.500  0.346 x2
Si  0.238  0.000  0.700 x2
Si  0.463  0.000  0.453 x2

## Properties
Energy in eV/atom: -3.7225
Fermi-level density of states in states/eV/f.u.: 0.90
Crystal system: monoclinic
Formation energy (no corrections) in eV per atom: 0.319

---

# 3
The following is a GGA-PBE calculation of a geometry-optimized KTa2Co structure, from the Alexandria database.

a = 3.0904 Å, b = 3.0904 Å, c = 30.0255 Å
α = 90.00°, β = 90.00°, γ = 120.00°
Space group R3m (No. 160, hexagonal axes)
Inequivalent atoms, fractional coordinates:
K  0.0000  0.0000  0.0000 x3
Ta  0.0000  0.0000  0.5174 x3
Ta  0.0000  0.0000  0.7753 x3
Co  0.0000  0.0000  0.2398 x3

## Properties
Energy in eV/atom: -7.2919
Fermi-level density of states in states/eV/f.u.: 3.84
ΔE_f in eV per atom: 0.69
Crystal system: trigonal

---

# 4
The following is a GGA-PBE calculation of a geometry-optimized Na8B13C3 structure, from the Alexandria database.

a = 5.134 Å, b = 2.921 Å, c = 17.243 Å
α = 90.00°, β = 90.01°, γ = 90.00°
Space group Pm (No. 6)
Inequivalent atoms, fractional coordinates:
Na  0.000  0.000  0.000 x1
Na  0.000  0.000  0.496 x1
Na  0.003  0.000  0.252 x1
Na  0.009  0.000  0.748 x1
Na  0.497  0.500  0.748 x1
Na  0.502  0.500  0.251 x1
Na  0.504  0.500  0.001 x1
Na  0.506  0.500  0.496 x1
B  0.168  0.500  0.617 x1
B  0.168  0.500  0.880 x1
B  0.171  0.500  0.373 x1
B  0.325  0.000  0.126 x1
B  0.338  0.000  0.617 x1
B  0.338  0.000  0.880 x1
B  0.657  0.000  0.126 x1
B  0.668  0.000  0.627 x1
B  0.668  0.000  0.870 x1
B  0.671  0.000  0.373 x1
B  0.838  0.500  0.627 x1
B  0.838  0.500  0.870 x1
B  0.866  0.500  0.126 x1
C  0.167  0.500  0.127 x1
C  0.337  0.000  0.373 x1
C  0.837  0.500  0.373 x1

## Properties
Energy in eV/atom: -4.9897
Fermi-level density of states in states/eV/f.u.: 5.13
ΔE_f in eV per atom: 0.22
Crystal system: monoclinic

---

# 5
The following is a GGA-PBE calculation of a geometry-optimized Pr7SmY2 structure, from the Alexandria database.

a = 8.732 Å, b = 17.356 Å, c = 5.628 Å
α = 90.00°, β = 90.00°, γ = 90.00°
Space group Cmmm (No. 65)
Inequivalent atoms, fractional coordinates:
Pr  0.000  0.000  0.000 x2
Pr  0.000  0.291  0.500 x4
Pr  0.180  0.390  0.000 x8
Sm  0.000  0.500  0.500 x2
Y  0.000  0.209  0.000 x4

## Properties
Energy in eV/atom: -4.4769
Fermi-level density of states in states/eV/f.u.: 16.28
ΔE_f in eV per atom: 0.63
Crystal system: orthorhombic

---

# 6
The following is a GGA-PBE calculation of a geometry-optimized Nb5GaRu6 structure, from the Alexandria database.

a = 14.225 Å, b = 6.125 Å, c = 4.495 Å
α = 90.00°, β = 105.04°, γ = 90.00°
Space group C2/m (No. 12)
Inequivalent atoms, fractional coordinates:
Nb  0.000  0.000  0.000 x2
Nb  0.167  0.500  0.649 x4
Nb  0.172  0.000  0.650 x4
Ga  0.000  0.500  0.000 x2
Ru  0.000  0.250  0.500 x4
Ru  0.159  0.251  0.135 x8

## Properties
Energy in eV/atom: -9.3758
Fermi-level density of states in states/eV/f.u.: 9.17
ΔE_f in eV per atom: -0.29
Crystal system: monoclinic

---

# 7
The following is a GGA-PBE calculation of a geometry-optimized DyHoMg2Pd4 structure, from the Alexandria database.

a = 4.7640 Å, b = 4.7640 Å, c = 23.3822 Å
α = 90.00°, β = 90.00°, γ = 120.00°
Space group R-3m (No. 166, hexagonal axes)
Inequivalent atoms, fractional coordinates:
Dy  0.0000  0.0000  0.0000 x3
Ho  0.0000  0.0000  0.5000 x3
Mg  0.0000  0.0000  0.2498 x6
Pd  0.0000  0.0000  0.1249 x6
Pd  0.0000  0.0000  0.3757 x6

## Properties
Energy in eV/atom: -4.9552
Fermi-level density of states in states/eV/f.u.: 3.26
ΔE_f in eV per atom: -0.81
Crystal system: trigonal

---

# 8
The following is a GGA-PBE calculation of a geometry-optimized Rb5TeS6 structure, from the Alexandria database.

a = 8.145 Å, b = 13.913 Å, c = 7.883 Å
α = 90.00°, β = 111.19°, γ = 90.00°
Space group C2/m (No. 12)
Inequivalent atoms, fractional coordinates:
Rb  0.000  0.000  0.000 x2
Rb  0.000  0.166  0.500 x4
Rb  0.000  0.333  0.000 x4
Te  0.000  0.500  0.500 x2
S  0.186  0.500  0.308 x4
S  0.194  0.371  0.700 x8

## Properties
Energy in eV/atom: -3.3216
Fermi-level density of states in states/eV/f.u.: 13.45
Crystal system: monoclinic
Formation energy (no corrections) in eV per atom: -0.593

---

# 9
The following is a GGA-PBE calculation of a geometry-optimized Cs2UI2Br4 structure, from the Alexandria database.

a = 8.244 Å, b = 8.244 Å, c = 11.901 Å
α = 90.00°, β = 90.00°, γ = 90.00°
Space group I4/mmm (No. 139)
Inequivalent atoms, fractional coordinates:
Cs  0.000  0.500  0.250 x4
U  0.000  0.000  0.000 x2
I  0.000  0.000  0.256 x4
Br  0.238  0.238  0.000 x8

## Properties
Energy in eV/atom: -4.0017
Fermi-level density of states in states/eV/f.u.: 7.64
Crystal system: tetragonal
Formation energy (no corrections) in eV per atom: -1.470

---

# 10
The following is a GGA-PBE calculation of a geometry-optimized PIr2Os structure, from the Alexandria database.

a = 2.793 Å, b = 3.649 Å, c = 5.700 Å
α = 90.00°, β = 90.00°, γ = 90.00°
Space group Pmm2 (No. 25)
Inequivalent atoms, fractional coordinates:
P  0.000  0.000  0.000 x1
Ir  0.000  0.000  0.450 x1
Ir  0.500  0.500  0.161 x1
Os  0.500  0.500  0.669 x1

## Properties
Energy in eV/atom: -8.3087
Fermi-level density of states in states/eV/f.u.: 2.48
ΔE_f in eV per atom: 0.28
Crystal system: orthorhombic

---

# 11
The following is a GGA-PBE calculation of a geometry-optimized Ta2V2Co structure, from the Alexandria database.

a = 6.079 Å, b = 6.079 Å, c = 4.133 Å
α = 90.00°, β = 90.00°, γ = 90.00°
Space group P4/mbm (No. 127)
Inequivalent atoms, fractional coordinates:
Ta  0.175  0.325  0.000 x4
V  0.142  0.642  0.500 x4
Co  0.000  0.000  0.500 x2

## Properties
Energy in eV/atom: -9.6039
Fermi-level density of states in states/eV/f.u.: 6.67
ΔE_f in eV per atom: 0.21
Crystal system: tetragonal

---

# 12
The following is a GGA-PBE calculation of a geometry-optimized NaCa2Sm structure, from the Alexandria database.

a = 6.160 Å, b = 6.160 Å, c = 3.972 Å
α = 90.00°, β = 90.00°, γ = 90.00°
Space group P4/mmm (No. 123)
Inequivalent atoms, fractional coordinates:
Na  0.000  0.000  0.000 x1
Ca  0.000  0.500  0.500 x2
Sm  0.500  0.500  0.000 x1

## Properties
Energy in eV/atom: -2.3585
Fermi-level density of states in states/eV/f.u.: 3.64
ΔE_f in eV per atom: 0.15
Crystal system: tetragonal

---

# 13
The following is a GGA-PBE calculation of a geometry-optimized La4HgPCl2 structure, from the Alexandria database.

a = 7.280 Å, b = 4.312 Å, c = 7.664 Å
α = 90.00°, β = 109.82°, γ = 90.00°
Space group P2/m (No. 10)
Inequivalent atoms, fractional coordinates:
La  0.240  0.000  0.228 x2
La  0.255  0.500  0.772 x2
Hg  0.000  0.000  0.500 x1
P  0.000  0.500  0.000 x1
Cl  0.500  0.000  0.000 x1
Cl  0.500  0.500  0.500 x1

## Properties
Energy in eV/atom: -4.9608
Fermi-level density of states in states/eV/f.u.: 5.65
Crystal system: monoclinic
Formation energy (no corrections) in eV per atom: -1.321

---

# 14
The following is a GGA-PBE calculation of a geometry-optimized PmDy2Cu structure, from the Alexandria database.

a = 3.520 Å, b = 3.520 Å, c = 8.688 Å
α = 90.00°, β = 90.00°, γ = 90.00°
Space group P4/mmm (No. 123)
Inequivalent atoms, fractional coordinates:
Pm  0.000  0.000  0.000 x1
Dy  0.500  0.500  0.307 x2
Cu  0.000  0.000  0.500 x1

## Properties
Energy in eV/atom: -4.6145
Fermi-level density of states in states/eV/f.u.: 3.93
ΔE_f in eV per atom: -0.10
Crystal system: tetragonal

---

# 15
The following is a GGA-PBE calculation of a geometry-optimized BaSr2Ho structure, from the Alexandria database.

a = 4.317 Å, b = 4.317 Å, c = 10.417 Å
α = 90.00°, β = 90.00°, γ = 90.00°
Space group P4/mmm (No. 123)
Inequivalent atoms, fractional coordinates:
Ba  0.000  0.000  0.000 x1
Sr  0.500  0.500  0.290 x2
Ho  0.000  0.000  0.500 x1

## Properties
Energy in eV/atom: -2.3017
Fermi-level density of states in states/eV/f.u.: 4.43
ΔE_f in eV per atom: 0.16
Crystal system: tetragonal

---

# 16
The following is a GGA-PBE calculation of a geometry-optimized K2NpBr5 structure, from the Alexandria database.

a = 13.683 Å, b = 9.197 Å, c = 8.589 Å
α = 90.00°, β = 90.00°, γ = 90.00°
Space group Pnma (No. 62)
Inequivalent atoms, fractional coordinates:
K  0.171  0.004  0.052 x8
Np  0.003  0.250  0.569 x4
Br  0.007  0.250  0.920 x4
Br  0.079  0.541  0.664 x8
Br  0.179  0.250  0.372 x4
Br  0.204  0.750  0.337 x4

## Properties
Energy in eV/atom: -4.4997
Fermi-level density of states in states/eV/f.u.: 7.26
Crystal system: orthorhombic
Formation energy (no corrections) in eV per atom: -1.562

---

# 17
The following is a GGA-PBE calculation of a geometry-optimized Pm2NdC structure, from the Alexandria database.

a = 3.6638 Å, b = 3.6638 Å, c = 29.0088 Å
α = 90.00°, β = 90.00°, γ = 120.00°
Space group R-3m (No. 166, hexagonal axes)
Inequivalent atoms, fractional coordinates:
Pm  0.0000  0.0000  0.2156 x6
Nd  0.0000  0.0000  0.0000 x3
C  0.0000  0.0000  0.5000 x3

## Properties
Energy in eV/atom: -5.9139
Fermi-level density of states in states/eV/f.u.: 4.76
ΔE_f in eV per atom: -0.04
Crystal system: trigonal

---

# 18
The following is a GGA-PBE calculation of a geometry-optimized Ho5Co4 structure, from the Alexandria database.

a = 10.635 Å, b = 3.963 Å, c = 9.375 Å
α = 90.00°, β = 110.49°, γ = 90.00°
Space group C2/m (No. 12)
Inequivalent atoms, fractional coordinates:
Ho  0.000  0.000  0.000 x2
Ho  0.110  0.000  0.396 x4
Ho  0.235  0.000  0.821 x4
Co  0.044  0.500  0.831 x4
Co  0.095  0.500  0.612 x4

## Properties
Energy in eV/atom: -5.9030
Fermi-level density of states in states/eV/f.u.: 7.26
ΔE_f in eV per atom: -0.20
Crystal system: monoclinic

---

# 19
The following is a GGA-PBE calculation of a geometry-optimized Pr3CI2 structure, from the Alexandria database.

a = 8.379 Å, b = 12.606 Å, c = 6.919 Å
α = 90.00°, β = 109.29°, γ = 90.00°
Space group C2/c (No. 15)
Inequivalent atoms, fractional coordinates:
Pr  0.171  0.068  0.002 x8
Pr  0.250  0.250  0.500 x4
C  0.000  0.079  0.250 x4
I  0.000  0.274  0.750 x4
I  0.000  0.429  0.250 x4

## Properties
Energy in eV/atom: -5.0120
Fermi-level density of states in states/eV/f.u.: 3.62
Crystal system: monoclinic
Formation energy (no corrections) in eV per atom: -0.568

---

# 20
The following is a GGA-PBE calculation of a geometry-optimized DyRe6 structure, from the Alexandria database.

a = 6.890 Å, b = 6.890 Å, c = 6.890 Å
α = 90.00°, β = 90.00°, γ = 90.00°
Space group Im-3m (No. 229)
Inequivalent atoms, fractional coordinates:
Dy  0.000  0.000  0.000 x2
Re  0.000  0.250  0.500 x12

## Properties
Energy in eV/atom: -10.2615
Fermi-level density of states in states/eV/f.u.: 6.03
ΔE_f in eV per atom: 1.07
Crystal system: cubic

---

# 21
The following is a GGA-PBE calculation of a geometry-optimized LuZrBeCu structure, from the Alexandria database.

a = 6.599 Å, b = 6.599 Å, c = 6.599 Å
α = 90.00°, β = 90.00°, γ = 90.00°
Space group F-43m (No. 216)
Inequivalent atoms, fractional coordinates:
Lu  0.000  0.000  0.000 x4
Zr  0.000  0.000  0.500 x4
Be  0.250  0.250  0.250 x4
Cu  0.250  0.250  0.750 x4

## Properties
Energy in eV/atom: -5.2586
Fermi-level density of states in states/eV/f.u.: 3.40
ΔE_f in eV per atom: -0.04
Crystal system: cubic

---

# 22
The following is a GGA-PBE calculation of a geometry-optimized In4GaPb4 structure, from the Alexandria database.

a = 10.852 Å, b = 10.852 Å, c = 4.354 Å
α = 90.00°, β = 90.00°, γ = 90.00°
Space group I4/mmm (No. 139)
Inequivalent atoms, fractional coordinates:
In  0.000  0.337  0.000 x8
Ga  0.000  0.000  0.000 x2
Pb  0.161  0.161  0.500 x8

## Properties
Energy in eV/atom: -3.1648
Fermi-level density of states in states/eV/f.u.: 4.10
ΔE_f in eV per atom: 0.04
Crystal system: tetragonal

---

# 23
The following is a GGA-PBE calculation of a geometry-optimized Cs5Rb2Ag4 structure, from the Alexandria database.

a = 25.963 Å, b = 5.187 Å, c = 10.469 Å
α = 90.00°, β = 91.34°, γ = 90.00°
Space group C2/m (No. 12)
Inequivalent atoms, fractional coordinates:
Cs  0.000  0.000  0.000 x2
Cs  0.064  0.500  0.387 x4
Cs  0.166  0.500  0.020 x4
Rb  0.182  0.000  0.634 x4
Ag  0.047  0.000  0.666 x4
Ag  0.074  0.500  0.740 x4

## Properties
Energy in eV/atom: -1.5417
Fermi-level density of states in states/eV/f.u.: 6.80
ΔE_f in eV per atom: 0.06
Crystal system: monoclinic